A relaxed Sm4Te3Br4 crystal, computed with GGA-PBE.

Values from the calculation:
The value obtained for the calculated total energy is -103.64 eV/cell.

Cell and atoms, written as CIF:
```
data_Sm4Te3Br4
_space_group_name_H-M_alt 'I m m m'
_space_group_IT_number 71
_space_group_name_Hall '-I 2 2'
_cell_length_a 4.0021
_cell_length_b 8.8757
_cell_length_c 18.0975
_cell_angle_alpha 90.00
_cell_angle_beta 90.00
_cell_angle_gamma 90.00
loop_
_atom_site_label
_atom_site_fract_x
_atom_site_fract_y
_atom_site_fract_z
Sm1 0.0000 0.0000 0.2344
Sm2 0.0000 0.2235 0.0000
Te1 0.0000 0.0000 0.5000
Te2 0.0000 0.5000 0.4044
Br1 0.0000 0.3136 0.1740
```

***

A relaxed KDy2Re2N6 crystal, computed with GGA-PBE.

Values from the calculation:
The value obtained for the calculated total energy is -91.98 eV/cell.

Cell and atoms, written as CIF:
```
data_KDy2Re2N6
_space_group_name_H-M_alt 'P -1'
_space_group_IT_number 2
_cell_length_a 6.0051
_cell_length_b 6.6401
_cell_length_c 6.9641
_cell_angle_alpha 61.98
_cell_angle_beta 86.26
_cell_angle_gamma 63.64
loop_
_space_group_symop_operation_xyz
'x,y,z'
'-x,-y,-z'
loop_
_atom_site_label
_atom_site_fract_x
_atom_site_fract_y
_atom_site_fract_z
K1 0.0000 0.0000 0.0000
Dy1 0.3647 0.5591 0.7296
Re1 0.3766 0.0742 0.3119
N1 0.0611 0.2860 0.3029
N2 0.4083 0.7723 0.3398
N3 0.4736 0.7587 0.8952
```

***

A relaxed ScH8Ir2Pt crystal, computed with GGA-PBE.

Values from the calculation:
The value obtained for the calculated total energy is -115.63 eV/cell.

Cell and atoms, written as CIF:
```
data_ScH8Ir2Pt
_space_group_name_H-M_alt 'C 1 2/m 1'
_space_group_IT_number 12
_cell_length_a 9.2551
_cell_length_b 3.8965
_cell_length_c 6.1680
_cell_angle_alpha 90.00
_cell_angle_beta 114.95
_cell_angle_gamma 90.00
loop_
_space_group_symop_operation_xyz
'x,y,z'
'-x,-y,-z'
'-x,y,-z'
'x,-y,z'
'x+1/2,y+1/2,z'
'-x+1/2,-y+1/2,-z'
'-x+1/2,y+1/2,-z'
'x+1/2,-y+1/2,z'
loop_
_atom_site_label
_atom_site_fract_x
_atom_site_fract_y
_atom_site_fract_z
Sc1 0.0000 0.0000 0.0000
H1 0.1269 0.5000 0.0296
H2 0.1387 0.2468 0.7496
H3 0.1879 0.0000 0.3521
Ir1 0.2363 0.5000 0.3177
Pt1 0.0000 0.5000 0.5000
```

***

A relaxed PmYThMg crystal, computed with GGA-PBE.

Values from the calculation:
As for the energy above the most stable polymorph in this dataset: 0 meV/atom. The value obtained for the calculated total energy is -20.43 eV/cell. As for the formation energy: -0.049 eV/atom.

Cell and atoms, written as CIF:
```
data_PmYThMg
_space_group_name_H-M_alt 'P 4 m m'
_space_group_IT_number 99
_cell_length_a 3.6203
_cell_length_b 3.6203
_cell_length_c 9.2786
_cell_angle_alpha 90.00
_cell_angle_beta 90.00
_cell_angle_gamma 90.00
loop_
_space_group_symop_operation_xyz
'x,y,z'
'-y,x,z'
'-x,-y,z'
'y,-x,z'
'-x,y,z'
'y,x,z'
'x,-y,z'
'-y,-x,z'
loop_
_atom_site_label
_atom_site_fract_x
_atom_site_fract_y
_atom_site_fract_z
Pm1 0.0000 0.0000 0.0000
Y1 0.0000 0.0000 0.4799
Th1 0.5000 0.5000 0.7380
Mg1 0.5000 0.5000 0.2463
```

***

The highest calculated total energy belongs to which entry?
PmYThMg